! GGA-PBE Cs3Li2I2Br4, relaxed; values from VASP
! Raw formation energy ... -1475 kJ/mol of formula units
! Symmetry ... I4/mmm (139)
&SYSTEM
  ibrav = 0, nat = 11, ntyp = 4
/
ATOMIC_SPECIES
Cs 132.91 Cs.upf
Li 6.94 Li.upf
I 126.90 I.upf
Br 79.90 Br.upf
CELL_PARAMETERS angstrom
-2.6982 2.6982 15.2084
2.6982 -2.6982 15.2084
2.6982 2.6982 -15.2084
ATOMIC_POSITIONS crystal
Cs 0.0000 0.0000 0.0000
Cs 0.1719 0.1719 0.0000
Cs 0.8281 0.8281 0.0000
Li 0.3965 0.3965 0.0000
Li 0.6035 0.6035 0.0000
I 0.3022 0.3022 0.0000
I 0.6978 0.6978 0.0000
Br 0.0847 0.5847 0.5000
Br 0.4153 0.9153 0.5000
Br 0.5847 0.0847 0.5000
Br 0.9153 0.4153 0.5000

! GGA-PBE Cd4Ag4Pd, relaxed; values from VASP
! Energy relative to the elements ... -0.11 eV per atom
! Symmetry ... I4/mmm (139)
&SYSTEM
  ibrav = 0, nat = 9, ntyp = 3
/
ATOMIC_SPECIES
Cd 112.41 Cd.upf
Ag 107.87 Ag.upf
Pd 106.42 Pd.upf
CELL_PARAMETERS angstrom
-4.6302 4.6302 1.9753
4.6302 -4.6302 1.9753
4.6302 4.6302 -1.9753
ATOMIC_POSITIONS crystal
Cd 0.1625 0.1625 0.3249
Cd 0.1625 0.8375 0.0000
Cd 0.8375 0.1625 0.0000
Cd 0.8375 0.8375 0.6751
Ag 0.1646 0.5000 0.6646
Ag 0.5000 0.1646 0.6646
Ag 0.5000 0.8354 0.3354
Ag 0.8354 0.5000 0.3354
Pd 0.5000 0.5000 0.0000

! GGA-PBE GdAl22O34, relaxed; values from VASP
! Raw formation energy ... -16372 kJ/mol of formula units
! Symmetry ... P-1 (2)
&SYSTEM
  ibrav = 0, nat = 57, ntyp = 3
/
ATOMIC_SPECIES
Gd 157.25 Gd.upf
Al 26.98 Al.upf
O 16.00 O.upf
CELL_PARAMETERS angstrom
5.6475 0.0000 0.0000
-0.0268 9.8114 0.0000
-2.7877 -1.6572 11.3188
ATOMIC_POSITIONS crystal
Gd 0.0000 0.0000 0.0000
Al 0.0000 0.0000 0.5000
Al 0.0242 0.6741 0.5485
Al 0.1059 0.2043 0.7186
Al 0.1429 0.5478 0.2832
Al 0.1531 0.0503 0.2945
Al 0.1714 0.7239 0.8504
Al 0.3274 0.7740 0.1472
Al 0.3549 0.4517 0.7174
Al 0.3567 0.9516 0.7171
Al 0.3959 0.2972 0.2854
Al 0.4756 0.8239 0.4473
Al 0.5000 0.5000 0.5000
Al 0.5244 0.1761 0.5527
Al 0.6041 0.7028 0.7146
Al 0.6433 0.0484 0.2829
Al 0.6451 0.5483 0.2826
Al 0.6726 0.2260 0.8528
Al 0.8286 0.2761 0.1496
Al 0.8469 0.9497 0.7055
Al 0.8571 0.4522 0.7168
Al 0.8941 0.7957 0.2814
Al 0.9758 0.3259 0.4515
O 0.0449 0.8599 0.5985
O 0.0561 0.3512 0.6132
O 0.1091 0.7015 0.2099
O 0.1113 0.1951 0.2068
O 0.1340 0.0453 0.7890
O 0.1437 0.5471 0.7930
O 0.1875 0.9068 0.4001
O 0.2092 0.7862 0.9992
O 0.2149 0.4032 0.3992
O 0.2852 0.0942 0.6042
O 0.3123 0.5949 0.5985
O 0.3504 0.9560 0.2059
O 0.3604 0.4517 0.2155
O 0.3919 0.2990 0.7949
O 0.3916 0.7978 0.7887
O 0.4475 0.1478 0.3909
O 0.4523 0.6400 0.3995
O 0.5477 0.3600 0.6005
O 0.5525 0.8522 0.6091
O 0.6084 0.2022 0.2113
O 0.6081 0.7010 0.2051
O 0.6396 0.5483 0.7845
O 0.6496 0.0440 0.7941
O 0.6877 0.4051 0.4015
O 0.7148 0.9058 0.3958
O 0.7851 0.5968 0.6008
O 0.7908 0.2138 0.0008
O 0.8125 0.0932 0.5999
O 0.8563 0.4529 0.2070
O 0.8660 0.9547 0.2110
O 0.8887 0.8049 0.7932
O 0.8909 0.2985 0.7901
O 0.9439 0.6488 0.3868
O 0.9551 0.1401 0.4015

! GGA-PBE Ba6CdI5, relaxed; values from VASP
! Raw formation energy ... -1329 kJ/mol of formula units
! Symmetry ... C2/m (12)
&SYSTEM
  ibrav = 0, nat = 12, ntyp = 3
/
ATOMIC_SPECIES
Ba 137.33 Ba.upf
Cd 112.41 Cd.upf
I 126.90 I.upf
CELL_PARAMETERS angstrom
4.4318 -7.5780 0.0000
4.4318 7.5780 0.0000
-2.8662 0.0000 8.1090
ATOMIC_POSITIONS crystal
Ba 0.0772 0.3941 0.7365
Ba 0.2316 0.2316 0.2514
Ba 0.3941 0.0772 0.7365
Ba 0.6059 0.9228 0.2635
Ba 0.7684 0.7684 0.7486
Ba 0.9228 0.6059 0.2635
Cd 0.0000 0.0000 0.5000
I 0.1798 0.8202 0.0000
I 0.3366 0.6634 0.5000
I 0.5000 0.5000 0.0000
I 0.6634 0.3366 0.5000
I 0.8202 0.1798 0.0000

What N(E_F) values result from the calculations? In sequence: 18.57, 2.39, 5.99, 9.05 states/eV/f.u..